#one
First-principles (GGA-PBE) data for a relaxed structure of MgNbRu3, as listed in Alexandria.

Cell and atoms, written as CIF:
```
data_MgNbRu3
_chemical_formula_sum 'Mg1 Nb1 Ru3'
_cell_length_a 4.384
_cell_length_b 4.384
_cell_length_c 4.384
_cell_angle_alpha 90.00
_cell_angle_beta 90.00
_cell_angle_gamma 90.00
_symmetry_space_group_name_H-M 'P 1'
_symmetry_Int_Tables_number 1
_symmetry_space_group_name_Hall 'P 1'
loop_
_atom_site_label
_atom_site_type_symbol
_atom_site_fract_x
_atom_site_fract_y
_atom_site_fract_z
Ru1 Ru 0.000 0.000 0.500
Ru2 Ru 0.000 0.500 0.000
Ru3 Ru 0.500 0.000 0.000
Nb1 Nb 0.500 0.500 0.500
Mg1 Mg 0.000 0.000 0.000
```

Values from the calculation:
DOS(E_F): 3.08 states/eV/cell

***

#two
First-principles (GGA-PBE) data for a relaxed structure of MgNbRu3, as listed in Alexandria.

Cell and atoms, written as CIF:
```
data_MgNbRu3
_chemical_formula_sum 'Mg1 Nb1 Ru3'
_cell_length_a 4.729
_cell_length_b 4.729
_cell_length_c 4.729
_cell_angle_alpha 90.00
_cell_angle_beta 90.00
_cell_angle_gamma 90.00
_symmetry_space_group_name_H-M 'P 1'
_symmetry_Int_Tables_number 1
_symmetry_space_group_name_Hall 'P 1'
loop_
_atom_site_label
_atom_site_type_symbol
_atom_site_fract_x
_atom_site_fract_y
_atom_site_fract_z
Ru1 Ru 0.000 0.000 0.500
Ru2 Ru 0.000 0.500 0.000
Mg1 Mg 0.500 0.500 0.500
Nb1 Nb 0.000 0.000 0.000
Ru3 Ru 0.500 0.000 0.000
```

Values from the calculation:
DOS(E_F): 6.24 states/eV/cell

***

Verdict on stability: #one comes out at the bottom.

***

#one
First-principles (GGA-PBE) data for a relaxed structure of MgNbS3, as listed in Alexandria.

Cell and atoms, written as CIF:
```
data_MgNbS3
_chemical_formula_sum 'Mg1 Nb1 S3'
_cell_length_a 4.805
_cell_length_b 4.805
_cell_length_c 4.805
_cell_angle_alpha 90.00
_cell_angle_beta 90.00
_cell_angle_gamma 90.00
_symmetry_space_group_name_H-M 'P 1'
_symmetry_Int_Tables_number 1
_symmetry_space_group_name_Hall 'P 1'
loop_
_atom_site_label
_atom_site_type_symbol
_atom_site_fract_x
_atom_site_fract_y
_atom_site_fract_z
Mg1 Mg 0.500 0.500 0.500
Nb1 Nb 0.000 0.000 0.000
S1 S 0.000 0.500 0.000
S2 S 0.500 0.000 0.000
S3 S 0.000 0.000 0.500
```

Values from the calculation:
DOS(E_F): 2.41 states/eV/cell

***

#two
First-principles (GGA-PBE) data for a relaxed structure of MgNbS3, as listed in Alexandria.

Cell and atoms, written as CIF:
```
data_MgNbS3
_chemical_formula_sum 'Mg1 Nb1 S3'
_cell_length_a 4.635
_cell_length_b 4.635
_cell_length_c 4.635
_cell_angle_alpha 90.00
_cell_angle_beta 90.00
_cell_angle_gamma 90.00
_symmetry_space_group_name_H-M 'P 1'
_symmetry_Int_Tables_number 1
_symmetry_space_group_name_Hall 'P 1'
loop_
_atom_site_label
_atom_site_type_symbol
_atom_site_fract_x
_atom_site_fract_y
_atom_site_fract_z
S1 S 0.000 0.500 0.000
S2 S 0.500 0.000 0.000
Nb1 Nb 0.500 0.500 0.500
Mg1 Mg 0.000 0.000 0.000
S3 S 0.000 0.000 0.500
```

Values from the calculation:
DOS(E_F): 2.19 states/eV/cell

***

Verdict on stability: #two comes out at the bottom.

***

#one
First-principles (GGA-PBE) data for a relaxed structure of Mg3NbS, as listed in Alexandria.

Cell and atoms, written as CIF:
```
data_Mg3NbS
_chemical_formula_sum 'Mg3 Nb1 S1'
_cell_length_a 4.822
_cell_length_b 4.822
_cell_length_c 4.822
_cell_angle_alpha 90.00
_cell_angle_beta 90.00
_cell_angle_gamma 90.00
_symmetry_space_group_name_H-M 'P 1'
_symmetry_Int_Tables_number 1
_symmetry_space_group_name_Hall 'P 1'
loop_
_atom_site_label
_atom_site_type_symbol
_atom_site_fract_x
_atom_site_fract_y
_atom_site_fract_z
Mg1 Mg 0.000 0.500 0.000
S1 S 0.000 0.000 0.000
Nb1 Nb 0.500 0.500 0.500
Mg2 Mg 0.000 0.000 0.500
Mg3 Mg 0.500 0.000 0.000
```

Values from the calculation:
DOS(E_F): 1.27 states/eV/cell

***

#two
First-principles (GGA-PBE) data for a relaxed structure of Mg3NbS, as listed in Alexandria.

Cell and atoms, written as CIF:
```
data_Mg3NbS
_chemical_formula_sum 'Mg3 Nb1 S1'
_cell_length_a 5.408
_cell_length_b 5.408
_cell_length_c 5.408
_cell_angle_alpha 90.00
_cell_angle_beta 90.00
_cell_angle_gamma 90.00
_symmetry_space_group_name_H-M 'P 1'
_symmetry_Int_Tables_number 1
_symmetry_space_group_name_Hall 'P 1'
loop_
_atom_site_label
_atom_site_type_symbol
_atom_site_fract_x
_atom_site_fract_y
_atom_site_fract_z
Mg1 Mg 0.000 0.000 0.500
S1 S 0.500 0.500 0.500
Mg2 Mg 0.000 0.500 0.000
Nb1 Nb 0.000 0.000 0.000
Mg3 Mg 0.500 0.000 0.000
```

Values from the calculation:
DOS(E_F): 3.05 states/eV/cell

***

Verdict on stability: #two comes out at the bottom.

***

#one
First-principles (GGA-PBE) data for a relaxed structure of Mg2ScNb, as listed in Alexandria.

Cell and atoms, written as CIF:
```
data_Mg2ScNb
_chemical_formula_sum 'Mg2 Sc1 Nb1'
_cell_length_a 4.873
_cell_length_b 4.873
_cell_length_c 4.873
_cell_angle_alpha 60.00
_cell_angle_beta 60.00
_cell_angle_gamma 60.00
_symmetry_space_group_name_H-M 'P 1'
_symmetry_Int_Tables_number 1
_symmetry_space_group_name_Hall 'P 1'
loop_
_atom_site_label
_atom_site_type_symbol
_atom_site_fract_x
_atom_site_fract_y
_atom_site_fract_z
Nb1 Nb 0.500 0.500 0.500
Mg1 Mg 0.750 0.750 0.750
Mg2 Mg 0.250 0.250 0.250
Sc1 Sc 0.000 0.000 0.000
```

Values from the calculation:
DOS(E_F): 3.56 states/eV/cell

***

#two
First-principles (GGA-PBE) data for a relaxed structure of Mg2ScNb, as listed in Alexandria.

Cell and atoms, written as CIF:
```
data_Mg2ScNb
_chemical_formula_sum 'Mg4 Sc2 Nb2'
_cell_length_a 7.931
_cell_length_b 7.931
_cell_length_c 6.250
_cell_angle_alpha 50.62
_cell_angle_beta 50.62
_cell_angle_gamma 90.00
_symmetry_space_group_name_H-M 'P 1'
_symmetry_Int_Tables_number 1
_symmetry_space_group_name_Hall 'P 1'
loop_
_atom_site_label
_atom_site_type_symbol
_atom_site_fract_x
_atom_site_fract_y
_atom_site_fract_z
Nb1 Nb 0.000 0.000 0.000
Mg1 Mg 0.634 0.125 0.250
Nb2 Nb 0.750 0.250 0.500
Sc1 Sc 0.250 0.750 0.500
Mg2 Mg 0.375 0.366 0.750
Mg3 Mg 0.116 0.625 0.250
Mg4 Mg 0.875 0.884 0.750
Sc2 Sc 0.500 0.500 0.000
```

Values from the calculation:
DOS(E_F): 9.64 states/eV/cell

***

Verdict on stability: #two comes out at the bottom.

***

#one
First-principles (GGA-PBE) data for a relaxed structure of MgScNb2, as listed in Alexandria.

Cell and atoms, written as CIF:
```
data_MgScNb2
_chemical_formula_sum 'Mg2 Sc2 Nb4'
_cell_length_a 7.678
_cell_length_b 7.678
_cell_length_c 6.099
_cell_angle_alpha 50.99
_cell_angle_beta 50.99
_cell_angle_gamma 90.00
_symmetry_space_group_name_H-M 'P 1'
_symmetry_Int_Tables_number 1
_symmetry_space_group_name_Hall 'P 1'
loop_
_atom_site_label
_atom_site_type_symbol
_atom_site_fract_x
_atom_site_fract_y
_atom_site_fract_z
Nb1 Nb 0.134 0.625 0.250
Sc1 Sc 0.000 0.000 0.000
Nb2 Nb 0.616 0.125 0.250
Sc2 Sc 0.750 0.250 0.500
Mg1 Mg 0.500 0.500 0.000
Nb3 Nb 0.875 0.866 0.750
Nb4 Nb 0.375 0.384 0.750
Mg2 Mg 0.250 0.750 0.500
```

Values from the calculation:
DOS(E_F): 7.81 states/eV/cell

***

#two
First-principles (GGA-PBE) data for a relaxed structure of MgScNb2, as listed in Alexandria.

Cell and atoms, written as CIF:
```
data_MgScNb2
_chemical_formula_sum 'Mg1 Sc1 Nb2'
_cell_length_a 4.798
_cell_length_b 4.798
_cell_length_c 4.798
_cell_angle_alpha 60.00
_cell_angle_beta 60.00
_cell_angle_gamma 60.00
_symmetry_space_group_name_H-M 'P 1'
_symmetry_Int_Tables_number 1
_symmetry_space_group_name_Hall 'P 1'
loop_
_atom_site_label
_atom_site_type_symbol
_atom_site_fract_x
_atom_site_fract_y
_atom_site_fract_z
Sc1 Sc 0.500 0.500 0.500
Nb1 Nb 0.250 0.250 0.250
Mg1 Mg 0.000 0.000 0.000
Nb2 Nb 0.750 0.750 0.750
```

Values from the calculation:
DOS(E_F): 5.09 states/eV/cell

***

Verdict on stability: #one comes out at the bottom.

***

#one
First-principles (GGA-PBE) data for a relaxed structure of MgNb2Se, as listed in Alexandria.

Cell and atoms, written as CIF:
```
data_MgNb2Se
_chemical_formula_sum 'Mg1 Nb2 Se1'
_cell_length_a 4.656
_cell_length_b 4.656
_cell_length_c 4.656
_cell_angle_alpha 60.00
_cell_angle_beta 60.00
_cell_angle_gamma 60.00
_symmetry_space_group_name_H-M 'P 1'
_symmetry_Int_Tables_number 1
_symmetry_space_group_name_Hall 'P 1'
loop_
_atom_site_label
_atom_site_type_symbol
_atom_site_fract_x
_atom_site_fract_y
_atom_site_fract_z
Mg1 Mg 0.000 0.000 0.000
Se1 Se 0.500 0.500 0.500
Nb1 Nb 0.750 0.750 0.750
Nb2 Nb 0.250 0.250 0.250
```

Values from the calculation:
DOS(E_F): 3.57 states/eV/cell

***

#two
First-principles (GGA-PBE) data for a relaxed structure of MgNb2Se, as listed in Alexandria.

Cell and atoms, written as CIF:
```
data_MgNb2Se
_chemical_formula_sum 'Mg2 Nb4 Se2'
_cell_length_a 3.908
_cell_length_b 3.908
_cell_length_c 10.466
_cell_angle_alpha 79.24
_cell_angle_beta 79.24
_cell_angle_gamma 90.00
_symmetry_space_group_name_H-M 'P 1'
_symmetry_Int_Tables_number 1
_symmetry_space_group_name_Hall 'P 1'
loop_
_atom_site_label
_atom_site_type_symbol
_atom_site_fract_x
_atom_site_fract_y
_atom_site_fract_z
Mg1 Mg 0.500 0.500 0.000
Mg2 Mg 0.250 0.750 0.500
Nb1 Nb 0.375 0.375 0.750
Nb2 Nb 0.625 0.125 0.250
Nb3 Nb 0.125 0.625 0.250
Nb4 Nb 0.875 0.875 0.750
Se1 Se 0.000 0.000 0.000
Se2 Se 0.750 0.250 0.500
```

Values from the calculation:
DOS(E_F): 2.94 states/eV/cell

***

Verdict on stability: #one comes out at the bottom.